First-principles (PBE) data for a relaxed structure of CrInPt2, as listed in Alexandria.

a = 4.159 Å, b = 4.158 Å, c = 3.830 Å
α = 90.00°, β = 90.00°, γ = 90.00°
Last column: magnetic moment on the atom in μB.
Sites, in units of the cell vectors:
Cr 0.500 0.000 0.500  3.45
In 0.000 0.500 0.500  -0.01
Pt 0.000 0.000 0.000  0.16
Pt 0.500 0.500 0.000  0.16

Properties
Space group ... P4/mmm
E ... -25.66 eV/f.u.